# NiBr3 PBE optimized geometry
data_NiBr3
_symmetry_space_group_name_H-M 'R -3 m'
_symmetry_Int_Tables_number 166
_symmetry_space_group_name_Hall '-R 3 2"'
_cell_length_a 8.3005
_cell_length_b 8.3005
_cell_length_c 5.1042
_cell_angle_alpha 90.00
_cell_angle_beta 90.00
_cell_angle_gamma 120.00
loop_
_atom_site_label
_atom_site_fract_x
_atom_site_fract_y
_atom_site_fract_z
Ni1 0.0000 0.0000 0.0000
Br1 0.0000 0.5000 0.0000
# raw formation energy: 0.5740 eV/atom
# volume: 25.38 Å³/atom
# total magnetization: 2.0 μB/f.u.
# DFT total energy: -25.512 eV per cell
# density: 4.88 g/cm3